# DyPuGaSi

A relaxed DyPuGaSi crystal (PBE-GGA, the Alexandria database).

Cell and atoms, written as extended XYZ:
```
4
Lattice="4.9874 0.0000 0.0000 2.4937 4.3192 0.0000 2.4937 1.4397 4.0722" Properties=species:S:1:pos:R:3 pbc="T T T"
Si 7.4811 4.3192 3.0541
Dy 0.0000 0.0000 0.0000
Ga 2.4937 1.4397 1.0180
Pu 4.9874 2.8795 2.0361
```

N(E_F) (states/eV per cell): 8.30
Formation energy without anion corrections (kJ/mol of formula units): -152
SG: F-43m